Entry 1:
{"formula": "MgIn2Ga", "functional": "PBE-GGA", "state": "relaxed", "lattice": [[4.809, 0.000, 0.000], [-2.404, 4.165, 0.000], [0.000, 0.000, 15.251]], "species": ["Mg", "Mg", "Mg", "In", "In", "In", "In", "In", "In", "Ga", "Ga", "Ga"], "fractional_positions": [[0.000, 0.000, 0.000], [0.333, 0.667, 0.667], [0.667, 0.333, 0.333], [0.000, 0.000, 0.224], [0.000, 0.000, 0.425], [0.333, 0.667, 0.092], [0.333, 0.667, 0.890], [0.667, 0.333, 0.557], [0.667, 0.333, 0.759], [0.000, 0.000, 0.807], [0.333, 0.667, 0.473], [0.667, 0.333, 0.140]], "dos_at_fermi_per_ev_fu": 1.96, "m_tot_mub_per_atom": 0.000, "e_form_kj_per_mol_atoms": 5, "de_polymorph_kj_per_mol_fu": 31, "space_group": "R3m, No. 160"}

Entry 2:
{"formula": "Hg3I", "functional": "PBE-GGA", "state": "relaxed", "lattice": [[6.701, 0.000, 0.000], [-3.027, 6.030, 0.000], [-2.132, -2.144, 6.700]], "species": ["Hg", "Hg", "Hg", "Hg", "Hg", "Hg", "I", "I"], "fractional_positions": [[0.098, 0.353, 0.094], [0.137, 0.472, 0.685], [0.349, 0.107, 0.206], [0.651, 0.893, 0.794], [0.863, 0.528, 0.315], [0.902, 0.647, 0.906], [0.364, 0.149, 0.695], [0.636, 0.851, 0.305]], "dos_at_fermi_per_ev_fu": 1.04, "m_tot_mub_per_atom": 0.000, "formation_energy_uncorrected_ev_per_atom": -0.08, "de_polymorph_kj_per_mol_fu": 9, "space_group": "P-1, No. 2"}

Entry 3:
{"formula": "La5Y2Tl4", "functional": "PBE-GGA", "state": "relaxed", "lattice": [[8.982, 0.000, 0.000], [0.000, 3.497, 0.000], [-1.108, 0.000, 10.911]], "species": ["La", "La", "La", "La", "La", "Y", "Y", "Tl", "Tl", "Tl", "Tl"], "fractional_positions": [[0.000, 0.000, 0.000], [0.034, 0.000, 0.338], [0.340, 0.000, 0.862], [0.660, 0.000, 0.138], [0.966, 0.000, 0.662], [0.421, 0.000, 0.360], [0.579, 0.000, 0.640], [0.263, 0.500, 0.574], [0.300, 0.500, 0.128], [0.700, 0.500, 0.872], [0.737, 0.500, 0.426]], "dos_at_fermi_per_ev_fu": 14.53, "m_tot_mub_per_atom": 0.030, "e_form_kj_per_mol_atoms": -23, "space_group": "P2/m, No. 10"}

Entry 4:
{"formula": "Ca2USb3Pt4", "functional": "PBE-GGA", "state": "relaxed", "lattice": [[4.545, 0.000, 0.000], [0.000, 4.545, 0.000], [0.000, 0.000, 11.443]], "species": ["Ca", "Ca", "U", "Sb", "Sb", "Sb", "Pt", "Pt", "Pt", "Pt"], "fractional_positions": [[0.000, 0.500, 0.217], [0.500, 0.000, 0.783], [0.000, 0.000, 0.500], [0.000, 0.500, 0.873], [0.500, 0.000, 0.127], [0.500, 0.500, 0.500], [0.000, 0.000, 0.000], [0.000, 0.500, 0.645], [0.500, 0.000, 0.355], [0.500, 0.500, 0.000]], "dos_at_fermi_per_ev_fu": 9.85, "m_tot_mub_per_atom": 0.257, "formation_energy_uncorrected_ev_per_atom": -0.69, "space_group": "P-4m2, No. 115"}